PrHoAgGe: relaxed, PBE.

Cell: 5.178 5.178 5.178 Å, 60.00 60.00 60.00°
Fractional coordinates of all 4 atoms:
Pr  0.500  0.500  0.500
Ge  0.250  0.250  0.250
Ho  0.000  0.000  0.000
Ag  0.750  0.750  0.750

Computed properties:
- D(E_F) (states/eV/cell) = 3.79
- M_tot (Bohr magnetons per cell) = 0.00
- space-group type = No. 216
- DFT formation energy (kJ per mole of atoms) = -48.6